# Sr2SI | Alexandria via LeMat-Bulk | GGA-PBE | relaxed
# * space-group type: Fm-3m, No. 225
# * total magnetization: 0.00 μB/cell
# * energy above the lowest structure with this stoichiometry: 0.335 eV per atom
# * Fermi-level density of states: 2.31 states/eV/cell
# * mass density: 4.70 g/cm³
# * calculated volume: 118 Å³/cell
# * E_form (uncorrected): -1.2889 eV/atom
data_Sr2SI
_cell_length_a 5.5069
_cell_length_b 5.5069
_cell_length_c 5.5069
_cell_angle_alpha 60.00
_cell_angle_beta 60.00
_cell_angle_gamma 60.00
_space_group_name_H-M_alt 'P 1'
_space_group_IT_number 1
_space_group_name_Hall 'P 1'
loop_
_atom_site_label
_atom_site_type_symbol
_atom_site_fract_x
_atom_site_fract_y
_atom_site_fract_z
I1 I 0.5000 0.5000 0.5000
Sr1 Sr 0.2500 0.2500 0.2500
Sr2 Sr 0.7500 0.7500 0.7500
S1 S 0.0000 0.0000 0.0000